PuMgWO6 | PBE with a Hubbard U | optimized geometry

Geometry as extended XYZ:
```
18
Lattice="5.469 0.000 0.000 -2.735 4.736 0.000 0.000 0.000 8.972" Properties=species:S:1:pos:R:3 pbc="T T T"
Pu 0.000 3.158 2.243
Pu 2.735 1.579 6.729
Mg 0.000 0.000 0.000
Mg 0.000 0.000 4.486
W 0.000 3.158 6.729
W 2.735 1.579 2.243
O -0.798 1.718 5.658
O -1.646 3.186 7.799
O 0.798 1.718 7.799
O -0.848 4.569 5.658
O 1.887 0.168 1.172
O 1.089 1.550 3.314
O 1.646 3.186 5.658
O 0.848 4.569 7.799
O 3.582 0.168 3.314
O 1.936 3.019 1.172
O 4.381 1.550 1.172
O 3.533 3.019 3.314
```

Values from the calculation:
space-group type: P-31c, No. 163
DOS at the Fermi energy: 9.601 states/eV/cell
electronic total energy: -8.277 eV/atom